[1]
Below is crystalline HoThMg at its relaxed geometry, with properties calculated at the PBE-GGA level.

Computed properties:
volume: 29.62 Å³/atom
distance to the lowest polymorph of the same formula: 0.168 eV/f.u.
DFT formation energy: 0.034 eV/atom
space-group type: C2/m (12)
Fermi-level density of states: 1.339 states/eV per atom
size of the total moment: 0.00 μB/f.u.
electronic total energy: -13.5 eV/f.u.

Cell lengths 3.5127, 3.5127, 17.7498 Å; angles 107.45, 107.45, 59.86 degrees
Fractional coordinates of all 6 atoms:
Ho  0.3077  0.3077  0.4924
Ho  0.8280  0.8280  0.0103
Th  0.8148  0.8148  0.6650
Th  0.3213  0.3213  0.8377
Mg  0.3265  0.3265  0.1759
Mg  0.8090  0.8090  0.3268


[2]
Below is crystalline Ho2Th3Mg2 at its relaxed geometry, with properties calculated at the PBE-GGA level.

Computed properties:
volume: 30.27 Å³/atom
DFT formation energy: 0.107 eV/atom
space-group type: Cmmm (65)
Fermi-level density of states: 1.167 states/eV per atom
size of the total moment: 0.73 μB/f.u.
electronic total energy: -33.9 eV/f.u.

Cell lengths 3.5332, 3.5235, 17.1136 Å; angles 90.00, 95.93, 90.00 degrees
Site moments in Bohr magnetons follow the coordinates.
Fractional coordinates of all 7 atoms:
Ho  0.2935  0.5000  0.5870  0.27
Ho  0.7065  0.5000  0.4130  0.27
Th  0.4252  0.5000  0.8505  0.00
Th  0.5748  0.5000  0.1495  0.00
Th  0.0000  0.0000  0.0000  -0.01
Mg  0.1431  0.0000  0.2862  0.00
Mg  0.8569  0.0000  0.7138  0.00